DFT (PBE) results for an optimized crystal structure of MgZrGaTc.

a = 4.629 Å, b = 4.629 Å, c = 4.629 Å
α = 60.00°, β = 60.00°, γ = 60.00°
Element x y z (fractional)
Mg (0.000, 0.000, 0.000)
Zr (0.500, 0.500, 0.500)
Ga (0.750, 0.750, 0.750)
Tc (0.250, 0.250, 0.250)

Output
Space-group type: F-43m
Calculated formation energy in eV per atom: -0.13
Total magnetic moment in Bohr magnetons per cell: 0.000
VASP energy in eV per atom: -6.016
N(E_F) in states/eV/f.u.: 1.10

***

DFT (PBE) results for an optimized crystal structure of MgGaTe3.

a = 5.516 Å, b = 5.516 Å, c = 5.516 Å
α = 90.00°, β = 90.00°, γ = 90.00°
Element x y z (fractional)
Mg (0.000, 0.000, 0.000)
Ga (0.500, 0.500, 0.500)
Te (0.000, 0.000, 0.500)
Te (0.000, 0.500, 0.000)
Te (0.500, 0.000, 0.000)

Output
Space-group type: Pm-3m
Total magnetic moment in Bohr magnetons per cell: 0.000
VASP energy in eV per atom: -2.675
Energy relative to the elements, uncorrected in meV/atom: 134
N(E_F) in states/eV/f.u.: 8.04

***

DFT (PBE) results for an optimized crystal structure of Mg2Ga2Te.

a = 6.671 Å, b = 6.671 Å, c = 6.671 Å
α = 140.67°, β = 140.67°, γ = 56.83°
Element x y z (fractional)
Mg (0.250, 0.750, 0.500)
Mg (0.750, 0.250, 0.500)
Ga (0.103, 0.103, 0.000)
Ga (0.897, 0.897, 0.000)
Te (0.500, 0.500, 0.000)

Output
Space-group type: I4/mmm
Total magnetic moment in Bohr magnetons per cell: 0.000
VASP energy in eV per atom: -2.497
Energy relative to the elements, uncorrected in meV/atom: -20
N(E_F) in states/eV/f.u.: 1.69

***

Repeat the first record exactly.
DFT (PBE) results for an optimized crystal structure of MgZrGaTc.

a = 4.629 Å, b = 4.629 Å, c = 4.629 Å
α = 60.00°, β = 60.00°, γ = 60.00°
Element x y z (fractional)
Mg (0.000, 0.000, 0.000)
Zr (0.500, 0.500, 0.500)
Ga (0.750, 0.750, 0.750)
Tc (0.250, 0.250, 0.250)

Output
Space-group type: F-43m
Calculated formation energy in eV per atom: -0.13
Total magnetic moment in Bohr magnetons per cell: 0.000
VASP energy in eV per atom: -6.016
N(E_F) in states/eV/f.u.: 1.10